SrLi2LaP2 after structural relaxation. Source: the Alexandria database, functional PBE.

Values from the calculation:
Symmetry = No. 164
ΔE_f = -1.00 eV per atom
Calculated volume = 129 Å³ per cell

Cell: 4.2899 4.2899 8.1199 Å, 90.00 90.00 120.00°
Closest atoms and distances in Å follow each position.
Fractional coordinates of all 6 atoms:
1 Sr 0.0000 0.0000 0.5000  6 Li 3.22, 6 P 3.25
2 Li 0.3333 0.6667 0.7533  3 P 2.48
3 Li 0.6667 0.3333 0.2467  3 P 2.48
4 La 0.0000 0.0000 0.0000  6 P 3.16, 6 Li 3.19
5 P 0.3333 0.6667 0.2413  3 Li 2.48
6 P 0.6667 0.3333 0.7587  3 Li 2.48



Cs2NaLiI4 after structural relaxation. Source: the Alexandria database, functional PBE.

Values from the calculation:
Energy relative to the elements, uncorrected = -1.3197 eV/atom
Symmetry = No. 15
Calculated volume = 708 Å³ per cell

Cell: 9.9826 9.9826 10.0662 Å, 120.13 120.13 89.76°
Closest atoms and distances in Å follow each position.
Fractional coordinates of all 16 atoms:
1 Cs 0.5000 0.0000 0.0000  6 I 3.75-3.78
2 Cs 0.5000 0.0000 0.5000  6 I 3.75-3.78
3 Cs 0.0000 0.0000 0.5000  6 I 3.83-3.87
4 Cs 0.5000 0.5000 0.0000  6 I 3.83-3.87
5 Na 0.0000 0.5000 0.0000  6 I 3.34-3.37
6 Na 0.0000 0.5000 0.5000  6 I 3.34-3.37
7 Li 0.5000 0.5000 0.5000  6 I 3.20-3.31
8 Li 0.0000 0.0000 0.0000  6 I 3.20-3.31
9 I 0.1964 0.7436 0.9701  1 Li 3.20, 2 Na 3.35-3.37
10 I 0.7563 0.3036 0.5299  1 Li 3.20, 2 Na 3.35-3.37
11 I 0.2436 0.6963 0.4701  1 Li 3.20, 2 Na 3.35-3.37
12 I 0.8037 0.2564 0.0299  1 Li 3.20, 2 Na 3.35-3.37
13 I 0.7669 0.7378 0.9632  2 Li 3.26-3.31, 1 Na 3.34
14 I 0.7622 0.7331 0.5368  2 Li 3.26-3.31, 1 Na 3.34
15 I 0.2378 0.2669 0.4632  2 Li 3.26-3.31, 1 Na 3.34
16 I 0.2331 0.2622 0.0368  2 Li 3.26-3.31, 1 Na 3.34



Which of these has the lowest calculated volume? SrLi2LaP2



Which value of calculated volume does entry 2 give? 708 Å³ per cell